The following is a GGA-PBE calculation of KMnAgBr6 after structural relaxation, from Alexandria via LeMat-Bulk.

Space group: P312, No. 149
ΔE_f (raw): -17.11 kcal/mol of atoms
Calculated volume: 34.0 Å³/atom
Final energy: -3.31 eV/atom

a b c (Å): 7.097 7.097 7.018
angles (deg): 90.00 90.00 120.00
Fractional coordinates of all 9 atoms:
K 0.000 0.000 0.000
Mn 0.333 0.667 0.500
Ag 0.667 0.333 0.500
Br 0.041 0.395 0.294
Br 0.041 0.646 0.706
Br 0.354 0.395 0.706
Br 0.354 0.959 0.294
Br 0.605 0.646 0.294
Br 0.605 0.959 0.706

=====

The following is a GGA-PBE calculation of KMnAgBr4 after structural relaxation, from Alexandria via LeMat-Bulk.

Space group: P2_1/m, No. 11
ΔE_f (raw): -21.05 kcal/mol of atoms
Calculated volume: 32.7 Å³/atom
Final energy: -3.74 eV/atom

a b c (Å): 6.624 7.808 9.082
angles (deg): 90.00 103.27 90.00
Fractional coordinates of all 14 atoms:
K 0.227 0.250 0.059
K 0.773 0.750 0.941
Mn 0.229 0.750 0.320
Mn 0.771 0.250 0.680
Ag 0.143 0.250 0.514
Ag 0.857 0.750 0.486
Br 0.034 0.006 0.718
Br 0.034 0.494 0.718
Br 0.348 0.750 0.081
Br 0.488 0.750 0.564
Br 0.512 0.250 0.436
Br 0.652 0.250 0.919
Br 0.966 0.506 0.282
Br 0.966 0.994 0.282

=====

The following is a GGA-PBE calculation of KMnAg2Br6 after structural relaxation, from Alexandria via LeMat-Bulk.

Space group: P1, No. 1
ΔE_f (raw): -16.94 kcal/mol of atoms
Calculated volume: 33.6 Å³/atom
Final energy: -3.34 eV/atom

a b c (Å): 6.893 7.297 8.086
angles (deg): 79.79 66.67 64.07
Fractional coordinates of all 10 atoms:
K 0.000 0.000 0.000
Mn 0.479 0.368 0.531
Ag 0.114 0.041 0.452
Ag 0.830 0.716 0.551
Br 0.098 0.401 0.748
Br 0.228 0.695 0.290
Br 0.449 0.644 0.692
Br 0.496 0.111 0.355
Br 0.710 0.069 0.733
Br 0.834 0.375 0.293

=====

The following is a GGA-PBE calculation of K3Mn2AgBr9 after structural relaxation, from Alexandria via LeMat-Bulk.

Space group: P-3m1, No. 164
ΔE_f (raw): -24.51 kcal/mol of atoms
Calculated volume: 30.7 Å³/atom
Final energy: -3.70 eV/atom

a b c (Å): 7.555 7.555 9.321
angles (deg): 90.00 90.00 120.00
Fractional coordinates of all 15 atoms:
K 0.000 0.000 0.000
K 0.333 0.667 0.660
K 0.667 0.333 0.340
Mn 0.333 0.667 0.168
Mn 0.667 0.333 0.832
Ag 0.000 0.000 0.500
Br 0.000 0.500 0.000
Br 0.171 0.343 0.322
Br 0.171 0.829 0.322
Br 0.343 0.171 0.678
Br 0.500 0.000 0.000
Br 0.500 0.500 0.000
Br 0.657 0.829 0.322
Br 0.829 0.171 0.678
Br 0.829 0.657 0.678

=====

The following is a GGA-PBE calculation of KAgMoBr6 after structural relaxation, from Alexandria via LeMat-Bulk.

Space group: P-31c, No. 163
ΔE_f (raw): -16.78 kcal/mol of atoms
Calculated volume: 34.8 Å³/atom
Final energy: -3.48 eV/atom

a b c (Å): 7.201 7.201 13.962
angles (deg): 90.00 90.00 120.00
Fractional coordinates of all 18 atoms:
K 0.000 0.000 0.000
K 0.000 0.000 0.500
Ag 0.333 0.667 0.250
Ag 0.667 0.333 0.750
Mo 0.333 0.667 0.750
Mo 0.667 0.333 0.250
Br 0.033 0.386 0.644
Br 0.033 0.647 0.856
Br 0.353 0.386 0.856
Br 0.353 0.967 0.644
Br 0.386 0.033 0.144
Br 0.386 0.353 0.356
Br 0.614 0.647 0.644
Br 0.614 0.967 0.856
Br 0.647 0.033 0.356
Br 0.647 0.614 0.144
Br 0.967 0.353 0.144
Br 0.967 0.614 0.356

=====

The following is a GGA-PBE calculation of K2AgMoBr6 after structural relaxation, from Alexandria via LeMat-Bulk.

Space group: Fm-3m, No. 225
ΔE_f (raw): -21.37 kcal/mol of atoms
Calculated volume: 32.2 Å³/atom
Final energy: -3.52 eV/atom

a b c (Å): 7.693 7.693 7.693
angles (deg): 60.00 60.00 60.00
Fractional coordinates of all 10 atoms:
K 0.250 0.250 0.250
K 0.750 0.750 0.750
Ag 0.000 0.000 0.000
Mo 0.500 0.500 0.500
Br 0.260 0.260 0.740
Br 0.260 0.740 0.260
Br 0.260 0.740 0.740
Br 0.740 0.260 0.260
Br 0.740 0.260 0.740
Br 0.740 0.740 0.260

=====

The following is a GGA-PBE calculation of KAg2MoBr8 after structural relaxation, from Alexandria via LeMat-Bulk.

Space group: P-1, No. 2
ΔE_f (raw): -14.03 kcal/mol of atoms
Calculated volume: 34.3 Å³/atom
Final energy: -3.19 eV/atom

a b c (Å): 6.619 7.385 9.276
angles (deg): 67.72 81.66 80.21
Fractional coordinates of all 12 atoms:
K 0.000 0.000 0.000
Ag 0.466 0.524 0.817
Ag 0.534 0.476 0.183
Mo 0.000 0.500 0.500
Br 0.066 0.489 0.769
Br 0.136 0.826 0.376
Br 0.356 0.321 0.474
Br 0.482 0.804 0.933
Br 0.518 0.196 0.067
Br 0.644 0.679 0.526
Br 0.864 0.174 0.624
Br 0.934 0.511 0.231

=====

The following is a GGA-PBE calculation of K2AgMoBr6 after structural relaxation, from Alexandria via LeMat-Bulk.

Space group: R-3m, No. 166
ΔE_f (raw): -21.76 kcal/mol of atoms
Calculated volume: 33.0 Å³/atom
Final energy: -3.54 eV/atom

a b c (Å): 13.999 13.999 13.999
angles (deg): 31.36 31.36 31.36
Fractional coordinates of all 20 atoms:
K 0.129 0.129 0.129
K 0.305 0.305 0.305
K 0.695 0.695 0.695
K 0.871 0.871 0.871
Ag 0.416 0.416 0.416
Ag 0.584 0.584 0.584
Mo 0.000 0.000 0.000
Mo 0.500 0.500 0.500
Br 0.132 0.628 0.628
Br 0.200 0.200 0.715
Br 0.200 0.715 0.200
Br 0.285 0.800 0.800
Br 0.372 0.372 0.868
Br 0.372 0.868 0.372
Br 0.628 0.132 0.628
Br 0.628 0.628 0.132
Br 0.715 0.200 0.200
Br 0.800 0.285 0.800
Br 0.800 0.800 0.285
Br 0.868 0.372 0.372

=====

The following is a GGA-PBE calculation of KAgBrN2 after structural relaxation, from Alexandria via LeMat-Bulk.

Space group: P4/mmm, No. 123
ΔE_f (raw): 40.39 kcal/mol of atoms
Calculated volume: 21.0 Å³/atom
Final energy: -2.70 eV/atom

a b c (Å): 4.569 4.569 5.038
angles (deg): 90.00 90.00 90.00
Fractional coordinates of all 5 atoms:
K 0.000 0.000 0.000
Ag 0.500 0.500 0.000
Br 0.500 0.500 0.500
N 0.000 0.500 0.500
N 0.500 0.000 0.500